(1)
MgZrAsSe2 | PBE-GGA | optimized geometry

Computed properties:
The formation energy (no corrections) comes out at -324.1 meV per atom. The value obtained for the total energy is -4.676 eV per atom. The density of states at the Fermi level comes out at 2.52 states/eV/cell. As for the energy above the most stable polymorph in this dataset: 0.0 kJ per mole of atoms.

Unit cell a=5.191 b=5.191 c=5.253 alpha=90.00 beta=90.00 gamma=90.00
Sites, in units of the cell vectors:
Se 0.500 0.000 0.000
Se 0.000 0.500 0.000
Zr 0.000 0.000 0.000
As 0.000 0.000 0.500
Mg 0.500 0.500 0.500

***

(2)
CaIBrN2 | PBE-GGA | optimized geometry

Computed properties:
The formation energy (no corrections) comes out at 1094.6 meV per atom. The value obtained for the total energy is -3.280 eV per atom. The density of states at the Fermi level comes out at 4.18 states/eV/cell. As for the energy above the most stable polymorph in this dataset: 0.0 kJ per mole of atoms.

Unit cell a=4.783 b=4.783 c=6.538 alpha=90.00 beta=90.00 gamma=90.00
Each line ends with the local moment (μB).
Sites, in units of the cell vectors:
N 0.000 0.500 0.000  1.41
N 0.500 0.000 0.000  1.41
Br 0.500 0.500 0.500  0.04
I 0.000 0.000 0.500  0.04
Ca 0.000 0.000 0.000  0.02